(1)
Below is crystalline ErPaSi2 at its relaxed geometry, with properties calculated at the PBE-GGA level.

Unit cell a=4.5212 b=4.5212 c=5.6719 alpha=66.51 beta=66.51 gamma=60.00
Closest atoms and distances in Å follow each position.
Atoms (fractional coordinates):
Si: 0.7482 0.7482 0.7554  3 Er 2.89, 3 Pa 2.91
Si: 0.2518 0.2518 0.2446  3 Er 2.89, 3 Pa 2.91
Pa: 0.5000 0.5000 0.5000  6 Si 2.91
Er: 0.0000 0.0000 0.0000  6 Si 2.89

## Properties
Space group: No. 166
Raw formation energy in kJ/mol of formula units: -166.5
E_tot in eV per atom: -6.658
Polymorph energy (0 for the lowest one) in eV per atom: 0.1615
Crystal system: trigonal



(2)
Below is crystalline ErPaSi4 at its relaxed geometry, with properties calculated at the PBE-GGA level.

Unit cell a=5.2859 b=5.2859 c=5.2859 alpha=60.00 beta=60.00 gamma=60.00
Closest atoms and distances in Å follow each position.
Atoms (fractional coordinates):
Si: 0.6275 0.6275 0.1175  6 Si 2.59-2.70
Si: 0.6275 0.1175 0.6275  6 Si 2.59-2.70
Si: 0.6275 0.6275 0.6275  6 Si 2.59-2.70
Si: 0.1175 0.6275 0.6275  6 Si 2.59-2.70
Pa: 0.2500 0.2500 0.2500  12 Si 3.10, 4 Er 3.24
Er: 0.0000 0.0000 0.0000  12 Si 3.09, 4 Pa 3.24

## Properties
Space group: No. 216
Raw formation energy in kJ/mol of formula units: -154.5
E_tot in eV per atom: -6.225
Polymorph energy (0 for the lowest one) in eV per atom: 0.0878
Crystal system: cubic



(3)
Below is crystalline ErPaSiTc at its relaxed geometry, with properties calculated at the PBE-GGA level.

Unit cell a=4.8882 b=4.8882 c=4.8882 alpha=60.00 beta=60.00 gamma=60.00
Closest atoms and distances in Å follow each position.
Atoms (fractional coordinates):
Si: 0.7500 0.7500 0.7500  4 Pa 2.99, 4 Er 2.99
Pa: 0.0000 0.0000 0.0000  4 Si 2.99, 4 Tc 2.99
Tc: 0.2500 0.2500 0.2500  4 Pa 2.99, 4 Er 2.99
Er: 0.5000 0.5000 0.5000  4 Tc 2.99, 4 Si 2.99

## Properties
Space group: No. 216
Raw formation energy in kJ/mol of formula units: -58.7
E_tot in eV per atom: -7.614
Crystal system: cubic



(4)
Below is crystalline Sm2ErPa at its relaxed geometry, with properties calculated at the PBE-GGA level.

Unit cell a=5.6122 b=5.6122 c=5.6107 alpha=59.99 beta=59.99 gamma=60.00
Closest atoms and distances in Å follow each position.
Atoms (fractional coordinates):
Pa: 0.0000 0.0000 0.0000  8 Sm 3.43-3.44
Sm: 0.2498 0.2498 0.2506  4 Pa 3.43-3.44, 4 Er 3.44
Sm: 0.7502 0.7502 0.7494  4 Pa 3.43-3.44, 4 Er 3.44
Er: 0.5000 0.5000 0.5000  8 Sm 3.44

## Properties
Formation energy in eV per atom: 0.387
Space group: No. 225
E_tot in eV per atom: -5.487
Polymorph energy (0 for the lowest one) in eV per atom: 0.2302
Crystal system: cubic



(5)
Below is crystalline Sm12Er5Pa3 at its relaxed geometry, with properties calculated at the PBE-GGA level.

Unit cell a=15.9848 b=15.9848 c=15.9848 alpha=109.47 beta=109.47 gamma=109.47
Closest atoms and distances in Å follow each position.
Atoms (fractional coordinates):
Pa: 0.7500 0.3750 0.1250  4 Sm 3.06
Pa: 0.8750 0.7500 0.1250  4 Sm 3.06
Pa: 0.3750 0.7500 0.6250  4 Sm 3.06
Pa: 0.2500 0.1250 0.3750  4 Sm 3.06
Pa: 0.8750 0.1250 0.2500  4 Sm 3.06
Pa: 0.3750 0.6250 0.2500  4 Sm 3.06
Pa: 0.6250 0.3750 0.7500  4 Sm 3.06
Pa: 0.1250 0.8750 0.7500  4 Sm 3.06
Pa: 0.7500 0.8750 0.6250  4 Sm 3.06
Pa: 0.6250 0.2500 0.3750  4 Sm 3.06
Pa: 0.1250 0.2500 0.8750  4 Sm 3.06
Pa: 0.2500 0.6250 0.8750  4 Sm 3.06
Er: 0.1250 0.3750 0.2500  4 Sm 3.23
Er: 0.0000 0.5000 0.0000  6 Sm 3.15
Er: 0.0000 0.0000 0.0000  6 Sm 3.15
Er: 0.3750 0.2500 0.1250  4 Sm 3.23
Er: 0.5000 0.0000 0.5000  6 Sm 3.15
Er: 0.5000 0.5000 0.0000  6 Sm 3.15
Er: 0.1250 0.7500 0.3750  4 Sm 3.23
Er: 0.7500 0.1250 0.8750  4 Sm 3.23
Er: 0.7500 0.6250 0.3750  4 Sm 3.23
Er: 0.3750 0.1250 0.7500  4 Sm 3.23
Er: 0.6250 0.8750 0.2500  4 Sm 3.23
Er: 0.5000 0.5000 0.5000  6 Sm 3.15
Er: 0.5000 0.0000 0.0000  6 Sm 3.15
Er: 0.0000 0.0000 0.5000  6 Sm 3.15
Er: 0.2500 0.3750 0.6250  4 Sm 3.23
Er: 0.2500 0.8750 0.1250  4 Sm 3.23
Er: 0.0000 0.5000 0.5000  6 Sm 3.15
Er: 0.8750 0.2500 0.6250  4 Sm 3.23
Er: 0.6250 0.7500 0.8750  4 Sm 3.23
Er: 0.8750 0.6250 0.7500  4 Sm 3.23
Sm: 0.7329 0.1345 0.0734  1 Pa 3.06, 2 Er 3.15-3.23, 1 Sm 3.34
Sm: 0.3405 0.5734 0.4389  1 Pa 3.06, 2 Er 3.15-3.23, 1 Sm 3.34
Sm: 0.9266 0.3655 0.2671  1 Pa 3.06, 2 Er 3.15-3.23, 1 Sm 3.34
Sm: 0.5734 0.2329 0.1345  1 Pa 3.06, 2 Er 3.15-3.23, 1 Sm 3.34
Sm: 0.5984 0.7329 0.6595  1 Pa 3.06, 2 Er 3.15-3.23, 1 Sm 3.34
Sm: 0.9266 0.5611 0.1595  1 Pa 3.06, 2 Er 3.15-3.23, 1 Sm 3.34
Sm: 0.3405 0.7671 0.4016  1 Pa 3.06, 2 Er 3.15-3.23, 1 Sm 3.34
Sm: 0.0611 0.9016 0.1345  1 Pa 3.06, 2 Er 3.15-3.23, 1 Sm 3.34
Sm: 0.5611 0.9266 0.6595  1 Pa 3.06, 2 Er 3.15-3.23, 1 Sm 3.34
Sm: 0.7329 0.5984 0.1595  1 Pa 3.06, 2 Er 3.15-3.23, 1 Sm 3.34
Sm: 0.7671 0.4266 0.3655  1 Pa 3.06, 2 Er 3.15-3.23, 1 Sm 3.34
Sm: 0.8405 0.9389 0.0734  1 Pa 3.06, 2 Er 3.15-3.23, 1 Sm 3.34
Sm: 0.1345 0.7329 0.5734  1 Pa 3.06, 2 Er 3.15-3.23, 1 Sm 3.34
Sm: 0.3655 0.4389 0.0984  1 Pa 3.06, 2 Er 3.15-3.23, 1 Sm 3.34
Sm: 0.0984 0.9389 0.3655  1 Pa 3.06, 2 Er 3.15-3.23, 1 Sm 3.34
Sm: 0.4016 0.1345 0.5611  1 Pa 3.06, 2 Er 3.15-3.23, 1 Sm 3.34
Sm: 0.0984 0.1595 0.2329  1 Pa 3.06, 2 Er 3.15-3.23, 1 Sm 3.34
Sm: 0.4266 0.6595 0.0611  1 Pa 3.06, 2 Er 3.15-3.23, 1 Sm 3.34
Sm: 0.8405 0.9016 0.2671  1 Pa 3.06, 2 Er 3.15-3.23, 1 Sm 3.34
Sm: 0.1345 0.4016 0.0611  1 Pa 3.06, 2 Er 3.15-3.23, 1 Sm 3.34
Sm: 0.3655 0.9266 0.7671  1 Pa 3.06, 2 Er 3.15-3.23, 1 Sm 3.34
Sm: 0.5611 0.6345 0.4016  1 Pa 3.06, 2 Er 3.15-3.23, 1 Sm 3.34
Sm: 0.9389 0.8405 0.5734  1 Pa 3.06, 2 Er 3.15-3.23, 1 Sm 3.34
Sm: 0.7671 0.3405 0.9016  1 Pa 3.06, 2 Er 3.15-3.23, 1 Sm 3.34
Sm: 0.4389 0.3655 0.5984  1 Pa 3.06, 2 Er 3.15-3.23, 1 Sm 3.34
Sm: 0.0611 0.1595 0.4266  1 Pa 3.06, 2 Er 3.15-3.23, 1 Sm 3.34
Sm: 0.2329 0.6595 0.0984  1 Pa 3.06, 2 Er 3.15-3.23, 1 Sm 3.34
Sm: 0.1595 0.0984 0.7329  1 Pa 3.06, 2 Er 3.15-3.23, 1 Sm 3.34
Sm: 0.6345 0.0734 0.2329  1 Pa 3.06, 2 Er 3.15-3.23, 1 Sm 3.34
Sm: 0.8655 0.5984 0.9389  1 Pa 3.06, 2 Er 3.15-3.23, 1 Sm 3.34
Sm: 0.5734 0.3405 0.9389  1 Pa 3.06, 2 Er 3.15-3.23, 1 Sm 3.34
Sm: 0.5984 0.8655 0.4389  1 Pa 3.06, 2 Er 3.15-3.23, 1 Sm 3.34
Sm: 0.9016 0.8405 0.7671  1 Pa 3.06, 2 Er 3.15-3.23, 1 Sm 3.34
Sm: 0.9016 0.0611 0.6345  1 Pa 3.06, 2 Er 3.15-3.23, 1 Sm 3.34
Sm: 0.8655 0.2671 0.4266  1 Pa 3.06, 2 Er 3.15-3.23, 1 Sm 3.34
Sm: 0.1595 0.0611 0.9266  1 Pa 3.06, 2 Er 3.15-3.23, 1 Sm 3.34
Sm: 0.6345 0.5611 0.9016  1 Pa 3.06, 2 Er 3.15-3.23, 1 Sm 3.34
Sm: 0.4389 0.0734 0.3405  1 Pa 3.06, 2 Er 3.15-3.23, 1 Sm 3.34
Sm: 0.2671 0.4016 0.8405  1 Pa 3.06, 2 Er 3.15-3.23, 1 Sm 3.34
Sm: 0.2329 0.5734 0.6345  1 Pa 3.06, 2 Er 3.15-3.23, 1 Sm 3.34
Sm: 0.9389 0.0984 0.8655  1 Pa 3.06, 2 Er 3.15-3.23, 1 Sm 3.34
Sm: 0.6595 0.2329 0.5984  1 Pa 3.06, 2 Er 3.15-3.23, 1 Sm 3.34
Sm: 0.4266 0.7671 0.8655  1 Pa 3.06, 2 Er 3.15-3.23, 1 Sm 3.34
Sm: 0.0734 0.4389 0.8405  1 Pa 3.06, 2 Er 3.15-3.23, 1 Sm 3.34
Sm: 0.4016 0.2671 0.3405  1 Pa 3.06, 2 Er 3.15-3.23, 1 Sm 3.34
Sm: 0.0734 0.6345 0.7329  1 Pa 3.06, 2 Er 3.15-3.23, 1 Sm 3.34
Sm: 0.6595 0.4266 0.5611  1 Pa 3.06, 2 Er 3.15-3.23, 1 Sm 3.34
Sm: 0.2671 0.8655 0.9266  1 Pa 3.06, 2 Er 3.15-3.23, 1 Sm 3.34

## Properties
Formation energy in eV per atom: 1.160
Space group: No. 230
E_tot in eV per atom: -4.237
Crystal system: cubic



(6)
Below is crystalline Sm2ErPa at its relaxed geometry, with properties calculated at the PBE-GGA level.

Unit cell a=3.4316 b=3.4316 c=10.3097 alpha=90.00 beta=90.00 gamma=90.00
Closest atoms and distances in Å follow each position.
Atoms (fractional coordinates):
Pa: 0.5000 0.5000 0.0000  8 Sm 3.42, 4 Pa 3.43
Sm: 0.0000 0.0000 0.7659  4 Pa 3.42, 4 Sm 3.43, 4 Er 3.66
Sm: 0.0000 0.0000 0.2341  4 Pa 3.42, 4 Sm 3.43, 4 Er 3.66
Er: 0.5000 0.5000 0.5000  4 Er 3.43, 8 Sm 3.66

## Properties
Formation energy in eV per atom: 0.157
Space group: No. 123
E_tot in eV per atom: -5.717
Polymorph energy (0 for the lowest one) in eV per atom: 0.0000
Crystal system: tetragonal



(7)
Below is crystalline Sm2ErPa at its relaxed geometry, with properties calculated at the PBE-GGA level.

Unit cell a=4.9123 b=4.9692 c=4.9692 alpha=90.00 beta=90.00 gamma=90.00
Closest atoms and distances in Å follow each position.
Atoms (fractional coordinates):
Pa: 0.5000 0.5000 0.5000  8 Sm 3.49, 4 Er 3.51
Sm: 0.0000 0.0000 0.5000  4 Pa 3.49, 4 Er 3.49, 4 Sm 3.51
Sm: 0.0000 0.5000 0.0000  4 Pa 3.49, 4 Er 3.49, 4 Sm 3.51
Er: 0.5000 0.0000 0.0000  8 Sm 3.49, 4 Pa 3.51

## Properties
Formation energy in eV per atom: 0.239
Space group: No. 123
E_tot in eV per atom: -5.635
Polymorph energy (0 for the lowest one) in eV per atom: 0.0823
Crystal system: tetragonal



(8)
Below is crystalline SmErThPa at its relaxed geometry, with properties calculated at the PBE-GGA level.

Unit cell a=5.5535 b=5.5535 c=5.5535 alpha=60.00 beta=60.00 gamma=60.00
Closest atoms and distances in Å follow each position.
Atoms (fractional coordinates):
Pa: 0.0000 0.0000 0.0000  4 Th 3.40, 4 Sm 3.40
Sm: 0.2500 0.2500 0.2500  4 Er 3.40, 4 Pa 3.40
Th: 0.7500 0.7500 0.7500  4 Pa 3.40, 4 Er 3.40
Er: 0.5000 0.5000 0.5000  4 Sm 3.40, 4 Th 3.40

## Properties
Formation energy in eV per atom: 0.358
Space group: No. 216
E_tot in eV per atom: -6.191
Crystal system: cubic



(9)
Below is crystalline ErPaSn2 at its relaxed geometry, with properties calculated at the PBE-GGA level.

Unit cell a=3.3749 b=3.3749 c=8.9808 alpha=90.00 beta=90.00 gamma=90.00
Closest atoms and distances in Å follow each position.
Atoms (fractional coordinates):
Pa: 0.5000 0.5000 0.0000  8 Sn 3.30, 4 Pa 3.37
Sn: 0.0000 0.0000 0.7469  4 Er 3.26, 4 Pa 3.30, 4 Sn 3.37
Sn: 0.0000 0.0000 0.2531  4 Er 3.26, 4 Pa 3.30, 4 Sn 3.37
Er: 0.5000 0.5000 0.5000  8 Sn 3.26, 4 Er 3.37

## Properties
Formation energy in eV per atom: -0.370
Space group: No. 123
E_tot in eV per atom: -5.886
Polymorph energy (0 for the lowest one) in eV per atom: 0.0000
Crystal system: tetragonal



(10)
Below is crystalline Er2PaSn at its relaxed geometry, with properties calculated at the PBE-GGA level.

Unit cell a=3.3986 b=3.3986 c=11.8033 alpha=81.72 beta=81.72 gamma=60.00
Closest atoms and distances in Å follow each position.
Atoms (fractional coordinates):
Pa: 0.5000 0.5000 0.5000  6 Er 3.34, 6 Pa 3.40
Sn: 0.0000 0.0000 0.0000  2 Er 3.11, 6 Sn 3.40
Er: 0.0891 0.0891 0.7327  1 Sn 3.11, 3 Pa 3.34, 6 Er 3.40
Er: 0.9109 0.9109 0.2673  1 Sn 3.11, 3 Pa 3.34, 6 Er 3.40

## Properties
Formation energy in eV per atom: 0.099
Space group: No. 166
E_tot in eV per atom: -5.557
Polymorph energy (0 for the lowest one) in eV per atom: 0.3021
Crystal system: trigonal